Material: AlV2O4
Method: DFT, PBE+U
State: relaxed

Lattice parameters (Å, degrees): 5.985 5.986 5.896 60.50 60.49 59.02
Element x y z (fractional)
O: 0.250 0.250 0.247
O: 0.260 0.742 0.249
O: 0.753 0.247 0.750
O: 0.742 0.260 0.249
O: 0.751 0.751 0.740
O: 0.250 0.250 0.753
O: 0.751 0.751 0.258
O: 0.247 0.753 0.750
Al: 0.371 0.371 0.379
Al: 0.621 0.621 0.629
V: 0.511 0.990 0.999
V: 0.001 0.001 0.489
V: 0.001 0.001 0.010
V: 0.990 0.511 0.999

Summary:
SG = I4_1md, No. 109
VASP energy = -7.792 eV/atom
N(E_F) = 0.1 states/eV/cell